Entry 1:
{
  "formula": "Ba4Pd2N",
  "functional": "PBE",
  "state": "optimized geometry",
  "formation_energy_uncorrected_ev_per_atom": -0.337,
  "final_energy_ev_per_cell": -28.76,
  "sg": "No. 139",
  "magmom_total_mub_per_cell": 0.00,
  "lattice_angstrom": [[5.468, 0.000, 0.000], [0.000, 5.468, 0.000], [2.734, 2.734, 8.148]],
  "species": ["Ba", "Ba", "Ba", "Ba", "Pd", "Pd", "N"],
  "frac_coords": [[0.170, 0.170, 0.660], [0.830, 0.830, 0.340], [0.000, 0.500, 0.000], [0.500, 0.000, 0.000], [0.367, 0.367, 0.265], [0.633, 0.633, 0.735], [0.000, 0.000, 0.000]]
}



Entry 2:
{
  "formula": "NiHgS2Cl",
  "functional": "PBE",
  "state": "optimized geometry",
  "formation_energy_uncorrected_ev_per_atom": 0.211,
  "final_energy_ev_per_cell": -15.13,
  "sg": "No. 123",
  "magmom_total_mub_per_cell": 0.00,
  "e_above_lowest_polymorph_ev_per_fu": 0.00,
  "lattice_angstrom": [[-2.920, -0.800, -3.408], [-1.184, -3.950, 1.942], [-3.361, 2.172, 2.369]],
  "species": ["Ni", "S", "S", "Hg", "Cl"],
  "frac_coords": [[0.000, 0.000, 0.000], [0.000, 0.500, 0.000], [0.500, 0.000, 0.000], [0.500, 0.500, 0.500], [0.000, 0.000, 0.500]]
}



Entry 3:
{
  "formula": "Er4As3S",
  "functional": "PBE",
  "state": "optimized geometry",
  "formation_energy_uncorrected_ev_per_atom": -1.663,
  "final_energy_ev_per_cell": -49.63,
  "sg": "No. 139",
  "magmom_total_mub_per_cell": 0.00,
  "lattice_angstrom": [[-3.749, 3.969, -1.655], [3.115, 0.994, -4.674], [-2.644, -6.453, 0.347]],
  "species": ["As", "As", "As", "S", "Er", "Er", "Er", "Er"],
  "frac_coords": [[0.500, 0.500, 0.000], [0.750, 0.250, 0.500], [0.250, 0.750, 0.500], [0.000, 0.000, 0.000], [0.000, 0.500, 0.000], [0.500, 0.000, 0.000], [0.250, 0.250, 0.499], [0.750, 0.750, 0.501]]
}



Entry 4:
{
  "formula": "Th6GeBi3As2",
  "functional": "PBE",
  "state": "optimized geometry",
  "final_energy_ev_per_cell": -81.00,
  "sg": "No. 12",
  "magmom_total_mub_per_cell": 0.00,
  "ef_ev_per_atom": -0.910,
  "lattice_angstrom": [[-2.752, -1.006, 3.263], [6.887, -3.030, 4.874], [0.615, 9.944, 0.637]],
  "species": ["Th", "Th", "Th", "Th", "Th", "Th", "Ge", "Bi", "Bi", "Bi", "As", "As"],
  "frac_coords": [[0.341, 0.900, 0.682], [0.674, 0.564, 0.347], [0.659, 0.100, 0.318], [0.007, 0.231, 0.014], [0.993, 0.769, 0.986], [0.326, 0.436, 0.653], [0.500, 0.000, 0.000], [0.500, 0.500, 0.000], [0.833, 0.168, 0.666], [0.167, 0.832, 0.334], [0.833, 0.667, 0.666], [0.167, 0.333, 0.334]]
}



Entry 5:
{
  "formula": "BaPuTh2N5",
  "functional": "PBE",
  "state": "optimized geometry",
  "formation_energy_uncorrected_ev_per_atom": -1.254,
  "final_energy_ev_per_cell": -84.01,
  "sg": "No. 71",
  "magmom_total_mub_per_cell": 3.00,
  "lattice_angstrom": [[-1.549, 3.059, 2.305], [-5.059, 0.223, -3.696], [0.517, -5.741, 4.263]],
  "species": ["Ba", "Pu", "Th", "Th", "N", "N", "N", "N", "N"],
  "frac_coords": [[0.000, 0.500, 0.000], [0.500, 0.000, 0.000], [0.219, 0.219, 0.438], [0.781, 0.781, 0.562], [0.648, 0.917, 0.295], [0.352, 0.083, 0.705], [0.352, 0.622, 0.705], [0.648, 0.378, 0.295], [0.000, 0.000, 0.000]]
}



Entry 6:
{
  "formula": "ZnRuRh3",
  "functional": "PBE",
  "state": "optimized geometry",
  "final_energy_ev_per_cell": -25.98,
  "sg": "No. 221",
  "magmom_total_mub_per_cell": 5.03,
  "e_above_lowest_polymorph_ev_per_fu": 0.33,
  "ef_ev_per_atom": 1.325,
  "lattice_angstrom": [[-3.974, 2.002, 0.518], [-0.874, -0.608, -4.352], [-1.874, -3.962, 0.929]],
  "species": ["Ru", "Zn", "Rh", "Rh", "Rh"],
  "frac_coords": [[0.500, 0.500, 0.500], [0.000, 0.000, 0.000], [0.000, 0.500, 0.000], [0.000, 0.000, 0.500], [0.500, 0.000, 0.000]]
}



Entry 7:
{
  "formula": "Si4SbRu",
  "functional": "PBE",
  "state": "optimized geometry",
  "formation_energy_uncorrected_ev_per_atom": 0.656,
  "final_energy_ev_per_cell": -31.15,
  "sg": "No. 216",
  "magmom_total_mub_per_cell": 0.03,
  "lattice_angstrom": [[0.000, 3.653, 3.653], [3.653, 0.000, 3.653], [3.653, 3.653, 0.000]],
  "species": ["Si", "Si", "Si", "Si", "Sb", "Ru"],
  "frac_coords": [[0.625, 0.625, 0.126], [0.625, 0.126, 0.625], [0.625, 0.625, 0.625], [0.126, 0.625, 0.625], [0.000, 0.000, 0.000], [0.250, 0.250, 0.250]]
}



Entry 8:
{
  "formula": "SrRhBr2",
  "functional": "PBE",
  "state": "optimized geometry",
  "formation_energy_uncorrected_ev_per_atom": -0.808,
  "final_energy_ev_per_cell": -15.61,
  "sg": "No. 8",
  "magmom_total_mub_per_cell": 0.00,
  "e_above_lowest_polymorph_ev_per_fu": 0.24,
  "lattice_angstrom": [[-5.004, 1.266, -3.010], [-4.596, -2.701, -2.698], [-2.570, 0.088, 4.465]],
  "species": ["Sr", "Rh", "Br", "Br"],
  "frac_coords": [[0.251, 0.251, 0.221], [0.548, 0.548, 0.398], [0.975, 0.975, 0.165], [0.725, 0.725, 0.716]]
}



Entry 9:
{
  "formula": "BaCdAu3",
  "functional": "PBE",
  "state": "optimized geometry",
  "final_energy_ev_per_cell": -14.03,
  "sg": "No. 221",
  "magmom_total_mub_per_cell": 0.00,
  "e_above_lowest_polymorph_ev_per_fu": 1.15,
  "ef_ev_per_atom": -0.272,
  "lattice_angstrom": [[-3.907, 3.354, 1.311], [-2.870, -4.069, 1.856], [2.175, 0.656, 4.803]],
  "species": ["Au", "Au", "Au", "Ba", "Cd"],
  "frac_coords": [[0.000, 0.500, 0.000], [0.000, 0.000, 0.500], [0.500, 0.000, 0.000], [0.500, 0.500, 0.500], [0.000, 0.000, 0.000]]
}



Entry 10:
{
  "formula": "ZrHgRu2",
  "functional": "PBE",
  "state": "optimized geometry",
  "final_energy_ev_per_cell": -27.67,
  "sg": "No. 123",
  "magmom_total_mub_per_cell": 0.73,
  "ef_ev_per_atom": -0.066,
  "lattice_angstrom": [[3.789, 0.000, 0.000], [0.000, 4.239, 0.000], [0.000, 0.000, 4.239]],
  "species": ["Hg", "Ru", "Ru", "Zr"],
  "frac_coords": [[0.500, 0.000, 0.500], [0.000, 0.000, 0.000], [0.000, 0.500, 0.500], [0.500, 0.500, 0.000]]
}



Entry 11:
{
  "formula": "Fe2TeIr",
  "functional": "PBE",
  "state": "optimized geometry",
  "formation_energy_uncorrected_ev_per_atom": 0.373,
  "final_energy_ev_per_cell": -27.43,
  "sg": "No. 12",
  "magmom_total_mub_per_cell": 5.91,
  "lattice_angstrom": [[4.813, -0.002, 0.012], [3.817, 2.933, 0.012], [0.973, 0.331, 4.510]],
  "species": ["Fe", "Fe", "Ir", "Te"],
  "frac_coords": [[0.005, 0.005, 0.958], [0.495, 0.495, 0.542], [0.750, 0.750, 0.750], [0.250, 0.250, 0.250]]
}



Entry 12:
{
  "formula": "RbIn8Ir2",
  "functional": "PBE",
  "state": "optimized geometry",
  "final_energy_ev_per_cell": -41.52,
  "sg": "No. 12",
  "magmom_total_mub_per_cell": 0.00,
  "ef_ev_per_atom": -0.084,
  "lattice_angstrom": [[-3.821, 0.029, -3.671], [4.079, -5.596, -2.946], [-3.988, -3.287, 5.470]],
  "species": ["Rb", "In", "In", "In", "In", "In", "In", "In", "In", "Ir", "Ir"],
  "frac_coords": [[0.500, 0.000, 0.000], [0.918, 0.911, 0.655], [0.918, 0.655, 0.911], [0.273, 0.598, 0.598], [0.500, 0.717, 0.283], [0.500, 0.283, 0.717], [0.727, 0.402, 0.402], [0.082, 0.345, 0.089], [0.082, 0.089, 0.345], [0.000, 0.291, 0.709], [0.000, 0.709, 0.291]]
}